First-principles (PBE-GGA) data for a geometry-optimized ScZn6Au6 structure, as listed in Alexandria.

```
ScZn6Au6
1.0
-2.614 4.519 4.645
2.614 -4.519 4.645
2.614 4.519 -4.645
Sc Zn Au
1 6 6
Cartesian
0.000 0.000 0.000
1.307 2.259 -2.322
1.307 -2.259 2.322
2.614 2.224 0.000
-1.307 2.259 2.322
1.307 2.259 2.322
0.000 2.294 4.645
2.614 0.000 1.538
0.000 0.000 3.085
0.000 3.005 0.000
0.000 6.032 0.000
0.000 0.000 6.204
0.000 4.519 3.107
```

Summary:
Fermi-level density of states in states/eV/cell: 3.9
Calculated formation energy in eV per formula unit: -4.06
Density in Mg/m³: 12.25
V in Å³/atom: 16.878

***

First-principles (PBE-GGA) data for a geometry-optimized SrGaNi structure, as listed in Alexandria.

```
SrGaNi
1.0
3.066 -3.083 0.000
3.066 3.083 0.000
-3.073 0.000 7.255
Sr Ga Ni
2 2 2
Cartesian
0.000 0.000 2.228
3.060 0.000 5.027
-0.007 0.000 5.944
3.067 0.000 1.311
1.533 1.541 0.000
1.533 -1.541 0.000
```

Summary:
Fermi-level density of states in states/eV/cell: 4.6
Calculated formation energy in eV per formula unit: -0.95
Density in Mg/m³: 5.23
V in Å³/atom: 22.862